(1)
The following is a DFT calculation (PBE) of crystalline CaSi4Ni2 at its relaxed geometry.

The structure in CIF format:
```
data_CaSi4Ni2
_chemical_formula_sum 'Ca4 Si16 Ni8'
_symmetry_space_group_name_H-M 'P n m a'
_symmetry_Int_Tables_number 62
_cell_length_a 15.983
_cell_length_b 4.043
_cell_length_c 6.244
_cell_angle_alpha 90.00
_cell_angle_beta 90.00
_cell_angle_gamma 90.00
loop_
_symmetry_equiv_pos_as_xyz
'x,y,z'
'-x,-y,-z'
'-x+1/2,-y,z+1/2'
'x+1/2,y,-z+1/2'
'x+1/2,-y+1/2,-z+1/2'
'-x+1/2,y+1/2,z+1/2'
'-x,y+1/2,-z'
'x,-y+1/2,z'
loop_
_atom_site_label
_atom_site_fract_x
_atom_site_fract_y
_atom_site_fract_z
_atom_site_occupancy
Ca1 0.142 0.250 0.005 1
Si1 0.031 0.750 0.861 1
Si2 0.064 0.250 0.467 1
Si3 0.182 0.750 0.323 1
Si4 0.194 0.750 0.721 1
Ni1 0.032 0.750 0.252 1
Ni2 0.212 0.250 0.524 1
```

(2)
The following is a DFT calculation (PBE) of crystalline Ca2SiNi2 at its relaxed geometry.

The structure in CIF format:
```
data_Ca2SiNi2
_chemical_formula_sum 'Ca4 Si2 Ni4'
_symmetry_space_group_name_H-M 'I 4/m m m'
_symmetry_Int_Tables_number 139
_symmetry_space_group_name_Hall '-I 4 2'
_cell_length_a 3.354
_cell_length_b 3.354
_cell_length_c 17.733
_cell_angle_alpha 90.00
_cell_angle_beta 90.00
_cell_angle_gamma 90.00
loop_
_atom_site_label
_atom_site_fract_x
_atom_site_fract_y
_atom_site_fract_z
_atom_site_occupancy
Ca1 0.000 0.000 0.112 1
Si1 0.000 0.000 0.500 1
Ni1 0.000 0.500 0.250 1
```

(3)
The following is a DFT calculation (PBE) of crystalline CaSi2Ni8 at its relaxed geometry.

The structure in CIF format:
```
data_CaSi2Ni8
_chemical_formula_sum 'Ca1 Si2 Ni8'
_symmetry_space_group_name_H-M 'P 4/m m m'
_symmetry_Int_Tables_number 123
_symmetry_space_group_name_Hall '-P 4 2'
_cell_length_a 5.622
_cell_length_b 5.622
_cell_length_c 4.929
_cell_angle_alpha 90.00
_cell_angle_beta 90.00
_cell_angle_gamma 90.00
loop_
_atom_site_label
_atom_site_fract_x
_atom_site_fract_y
_atom_site_fract_z
_atom_site_occupancy
Ca1 0.000 0.000 0.000 1
Si1 0.000 0.500 0.500 1
Ni1 0.291 0.291 0.251 1
```

(4)
The following is a DFT calculation (PBE) of crystalline Ca4SiNi at its relaxed geometry.

The structure in CIF format:
```
data_Ca4SiNi
_chemical_formula_sum 'Ca16 Si4 Ni4'
_symmetry_space_group_name_H-M 'F -4 3 m'
_symmetry_Int_Tables_number 216
_symmetry_space_group_name_Hall 'F -4 2 3'
_cell_length_a 8.774
_cell_length_b 8.774
_cell_length_c 8.774
_cell_angle_alpha 90.00
_cell_angle_beta 90.00
_cell_angle_gamma 90.00
loop_
_atom_site_label
_atom_site_fract_x
_atom_site_fract_y
_atom_site_fract_z
_atom_site_occupancy
Ca1 0.125 0.125 0.125 1
Si1 0.000 0.000 0.500 1
Ni1 0.250 0.250 0.750 1
```

| no. | formation energy from raw total energies (eV per formula unit) |
| --- | --- |
| 1 | -2.8 |
| 2 | -0.2 |
| 3 | 1.5 |
| 4 | 4.5 |